Version a
DFT (PBE) results for a relaxed GeSbIr crystal.

theoretical density: 10405 kg/m3

CIF file:
```
data_GeSbIr
_cell_length_a 6.273
_cell_length_b 6.273
_cell_length_c 6.273
_cell_angle_alpha 90.00
_cell_angle_beta 90.00
_cell_angle_gamma 90.00
_symmetry_space_group_name_H-M 'P 21 3'
_symmetry_Int_Tables_number 198
_symmetry_space_group_name_Hall 'P 2ac 2ab 3'
loop_
_atom_site_label
_atom_site_fract_x
_atom_site_fract_y
_atom_site_fract_z
Ge1 0.126 0.126 0.126
Sb1 0.135 0.365 0.635
Ir1 0.020 0.980 0.480
```



Version b
DFT (PBE) results for a relaxed GeSbIr crystal.

theoretical density: 10537 kg/m3

CIF file:
```
data_GeSbIr
_cell_length_a 6.246
_cell_length_b 6.246
_cell_length_c 6.246
_cell_angle_alpha 90.00
_cell_angle_beta 90.00
_cell_angle_gamma 90.00
_symmetry_space_group_name_H-M 'F -4 3 m'
_symmetry_Int_Tables_number 216
_symmetry_space_group_name_Hall 'F -4 2 3'
loop_
_atom_site_label
_atom_site_fract_x
_atom_site_fract_y
_atom_site_fract_z
Ge1 0.000 0.000 0.000
Sb1 0.000 0.000 0.500
Ir1 0.250 0.250 0.250
```



Stability check: which of them is most stable? version b.



Version a
DFT (PBE) results for a relaxed GeSbIr2 crystal.

theoretical density: 14332 kg/m3

CIF file:
```
data_GeSbIr2
_cell_length_a 6.449
_cell_length_b 6.449
_cell_length_c 6.449
_cell_angle_alpha 90.00
_cell_angle_beta 90.00
_cell_angle_gamma 90.00
_symmetry_space_group_name_H-M 'F m -3 m'
_symmetry_Int_Tables_number 225
_symmetry_space_group_name_Hall '-F 4 2 3'
loop_
_atom_site_label
_atom_site_fract_x
_atom_site_fract_y
_atom_site_fract_z
Ge1 0.000 0.000 0.000
Sb1 0.000 0.000 0.500
Ir1 0.250 0.250 0.250
```



Version b
DFT (PBE) results for a relaxed GeSbIr2 crystal.

theoretical density: 10264 kg/m3

CIF file:
```
data_GeSbIr2
_cell_length_a 5.670
_cell_length_b 5.670
_cell_length_c 11.651
_cell_angle_alpha 90.00
_cell_angle_beta 90.00
_cell_angle_gamma 90.00
_symmetry_space_group_name_H-M 'I -4 2 d'
_symmetry_Int_Tables_number 122
_symmetry_space_group_name_Hall 'I -4 2bw'
loop_
_atom_site_label
_atom_site_fract_x
_atom_site_fract_y
_atom_site_fract_z
Ge1 0.000 0.000 0.000
Sb1 0.000 0.000 0.500
Ir1 0.224 0.250 0.125
```



Stability check: which of them is most stable? version b.



Version a
DFT (PBE) results for a relaxed SiGeIr2 crystal.

theoretical density: 9995 kg/m3

CIF file:
```
data_SiGeIr2
_cell_length_a 5.451
_cell_length_b 5.451
_cell_length_c 10.851
_cell_angle_alpha 90.00
_cell_angle_beta 90.00
_cell_angle_gamma 90.00
_symmetry_space_group_name_H-M 'I -4 2 d'
_symmetry_Int_Tables_number 122
_symmetry_space_group_name_Hall 'I -4 2bw'
loop_
_atom_site_label
_atom_site_fract_x
_atom_site_fract_y
_atom_site_fract_z
Si1 0.000 0.000 0.000
Ge1 0.000 0.000 0.500
Ir1 0.235 0.250 0.125
```



Version b
DFT (PBE) results for a relaxed SiGeIr2 crystal.

theoretical density: 13250 kg/m3

CIF file:
```
data_SiGeIr2
_cell_length_a 6.874
_cell_length_b 6.314
_cell_length_c 5.603
_cell_angle_alpha 90.00
_cell_angle_beta 90.27
_cell_angle_gamma 90.00
_symmetry_space_group_name_H-M 'P 1 21/c 1'
_symmetry_Int_Tables_number 14
loop_
_symmetry_equiv_pos_as_xyz
'x,y,z'
'-x,-y,-z'
'-x,y+1/2,-z+1/2'
'x,-y+1/2,z+1/2'
loop_
_atom_site_label
_atom_site_fract_x
_atom_site_fract_y
_atom_site_fract_z
Si1 0.123 0.057 0.185
Ge1 0.377 0.586 0.311
Ir1 0.104 0.706 0.005
Ir2 0.348 0.203 0.500
```



Version c
DFT (PBE) results for a relaxed SiGeIr2 crystal.

theoretical density: 14090 kg/m3

CIF file:
```
data_SiGeIr2
_cell_length_a 6.115
_cell_length_b 6.115
_cell_length_c 6.115
_cell_angle_alpha 90.00
_cell_angle_beta 90.00
_cell_angle_gamma 90.00
_symmetry_space_group_name_H-M 'F m -3 m'
_symmetry_Int_Tables_number 225
_symmetry_space_group_name_Hall '-F 4 2 3'
loop_
_atom_site_label
_atom_site_fract_x
_atom_site_fract_y
_atom_site_fract_z
Si1 0.000 0.000 0.000
Ge1 0.000 0.000 0.500
Ir1 0.250 0.250 0.250
```



Stability check: which of them is most stable? version b.



Version a
DFT (PBE) results for a relaxed SiGeIr3 crystal.

theoretical density: 12551 kg/m3

CIF file:
```
data_SiGeIr3
_cell_length_a 4.475
_cell_length_b 4.475
_cell_length_c 4.475
_cell_angle_alpha 90.00
_cell_angle_beta 90.00
_cell_angle_gamma 90.00
_symmetry_space_group_name_H-M 'P m -3 m'
_symmetry_Int_Tables_number 221
_symmetry_space_group_name_Hall '-P 4 2 3'
loop_
_atom_site_label
_atom_site_fract_x
_atom_site_fract_y
_atom_site_fract_z
Si1 0.000 0.000 0.000
Ge1 0.500 0.500 0.500
Ir1 0.000 0.000 0.500
```



Version b
DFT (PBE) results for a relaxed SiGeIr3 crystal.

theoretical density: 11782 kg/m3

CIF file:
```
data_SiGeIr3
_cell_length_a 4.570
_cell_length_b 4.570
_cell_length_c 4.570
_cell_angle_alpha 90.00
_cell_angle_beta 90.00
_cell_angle_gamma 90.00
_symmetry_space_group_name_H-M 'P m -3 m'
_symmetry_Int_Tables_number 221
_symmetry_space_group_name_Hall '-P 4 2 3'
loop_
_atom_site_label
_atom_site_fract_x
_atom_site_fract_y
_atom_site_fract_z
Si1 0.000 0.000 0.000
Ge1 0.500 0.500 0.500
Ir1 0.000 0.500 0.500
```



Stability check: which of them is most stable? version a.



Version a
DFT (PBE) results for a relaxed SiGe3Ir crystal.

theoretical density: 6554 kg/m3

CIF file:
```
data_SiGe3Ir
_cell_length_a 4.806
_cell_length_b 4.806
_cell_length_c 4.806
_cell_angle_alpha 90.00
_cell_angle_beta 90.00
_cell_angle_gamma 90.00
_symmetry_space_group_name_H-M 'P m -3 m'
_symmetry_Int_Tables_number 221
_symmetry_space_group_name_Hall '-P 4 2 3'
loop_
_atom_site_label
_atom_site_fract_x
_atom_site_fract_y
_atom_site_fract_z
Si1 0.000 0.000 0.000
Ge1 0.000 0.500 0.500
Ir1 0.500 0.500 0.500
```



Version b
DFT (PBE) results for a relaxed SiGe3Ir crystal.

theoretical density: 7335 kg/m3

CIF file:
```
data_SiGe3Ir
_cell_length_a 4.629
_cell_length_b 4.629
_cell_length_c 4.629
_cell_angle_alpha 90.00
_cell_angle_beta 90.00
_cell_angle_gamma 90.00
_symmetry_space_group_name_H-M 'P m -3 m'
_symmetry_Int_Tables_number 221
_symmetry_space_group_name_Hall '-P 4 2 3'
loop_
_atom_site_label
_atom_site_fract_x
_atom_site_fract_y
_atom_site_fract_z
Si1 0.000 0.000 0.000
Ge1 0.000 0.000 0.500
Ir1 0.500 0.500 0.500
```



Stability check: which of them is most stable? version a.



Version a
DFT (PBE) results for a relaxed Sm3Ge3Ir2 crystal.

theoretical density: 10233 kg/m3

CIF file:
```
data_Sm3Ge3Ir2
_cell_length_a 4.370
_cell_length_b 10.752
_cell_length_c 14.553
_cell_angle_alpha 90.00
_cell_angle_beta 90.00
_cell_angle_gamma 90.00
_symmetry_space_group_name_H-M 'C m c m'
_symmetry_Int_Tables_number 63
_symmetry_space_group_name_Hall '-C 2c 2'
loop_
_atom_site_label
_atom_site_fract_x
_atom_site_fract_y
_atom_site_fract_z
Sm1 0.000 0.084 0.110
Sm2 0.000 0.359 0.250
Ge1 0.000 0.340 0.750
Ge2 0.000 0.371 0.035
Ir1 0.000 0.201 0.602
```



Version b
DFT (PBE) results for a relaxed Sm3Ge3Ir2 crystal.

theoretical density: 10146 kg/m3

CIF file:
```
data_Sm3Ge3Ir2
_cell_length_a 8.163
_cell_length_b 14.469
_cell_length_c 5.839
_cell_angle_alpha 90.00
_cell_angle_beta 90.00
_cell_angle_gamma 90.00
_symmetry_space_group_name_H-M 'P n m a'
_symmetry_Int_Tables_number 62
loop_
_symmetry_equiv_pos_as_xyz
'x,y,z'
'-x,-y,-z'
'-x+1/2,-y,z+1/2'
'x+1/2,y,-z+1/2'
'x+1/2,-y+1/2,-z+1/2'
'-x+1/2,y+1/2,z+1/2'
'-x,y+1/2,-z'
'x,-y+1/2,z'
loop_
_atom_site_label
_atom_site_fract_x
_atom_site_fract_y
_atom_site_fract_z
Sm1 0.042 0.112 0.123
Sm2 0.188 0.250 0.634
Ge1 0.164 0.750 0.607
Ge2 0.194 0.039 0.626
Ir1 0.087 0.598 0.382
```



Stability check: which of them is most stable? version a.



Version a
DFT (PBE) results for a relaxed SmGe3Ir2 crystal.

theoretical density: 11333 kg/m3

CIF file:
```
data_SmGe3Ir2
_cell_length_a 9.757
_cell_length_b 7.900
_cell_length_c 5.723
_cell_angle_alpha 90.00
_cell_angle_beta 90.00
_cell_angle_gamma 90.00
_symmetry_space_group_name_H-M 'C m c m'
_symmetry_Int_Tables_number 63
_symmetry_space_group_name_Hall '-C 2c 2'
loop_
_atom_site_label
_atom_site_fract_x
_atom_site_fract_y
_atom_site_fract_z
Sm1 0.000 0.158 0.250
Ge1 0.000 0.480 0.750
Ge2 0.164 0.224 0.750
Ir1 0.233 0.500 0.000
```



Version b
DFT (PBE) results for a relaxed SmGe3Ir2 crystal.

theoretical density: 10960 kg/m3

CIF file:
```
data_SmGe3Ir2
_cell_length_a 15.530
_cell_length_b 4.160
_cell_length_c 7.743
_cell_angle_alpha 90.00
_cell_angle_beta 114.22
_cell_angle_gamma 90.00
_symmetry_space_group_name_H-M 'C 1 2/m 1'
_symmetry_Int_Tables_number 12
loop_
_symmetry_equiv_pos_as_xyz
'x,y,z'
'-x,-y,-z'
'-x,y,-z'
'x,-y,z'
'x+1/2,y+1/2,z'
'-x+1/2,-y+1/2,-z'
'-x+1/2,y+1/2,-z'
'x+1/2,-y+1/2,z'
loop_
_atom_site_label
_atom_site_fract_x
_atom_site_fract_y
_atom_site_fract_z
Sm1 0.142 0.000 0.101
Ge1 0.016 0.000 0.356
Ge2 0.144 0.500 0.784
Ge3 0.169 0.500 0.430
Ir1 0.003 0.500 0.171
Ir2 0.184 0.000 0.638
```



Stability check: which of them is most stable? version b.



Version a
DFT (PBE) results for a relaxed Sm3Ge2Ir crystal.

theoretical density: 8349 kg/m3

CIF file:
```
data_Sm3Ge2Ir
_cell_length_a 7.8529
_cell_length_b 7.8529
_cell_length_c 17.6206
_cell_angle_alpha 90.00
_cell_angle_beta 90.00
_cell_angle_gamma 120.00
_symmetry_space_group_name_H-M 'R -3 c'
_symmetry_Int_Tables_number 167
_symmetry_space_group_name_Hall '-R 3 2"c'
loop_
_atom_site_label
_atom_site_fract_x
_atom_site_fract_y
_atom_site_fract_z
Sm1 0.0000 0.3227 0.2500
Ge1 0.0000 0.0000 0.1529
Ir1 0.0000 0.0000 0.0000
```



Version b
DFT (PBE) results for a relaxed Sm3Ge2Ir crystal.

theoretical density: 8860 kg/m3

CIF file:
```
data_Sm3Ge2Ir
_cell_length_a 11.971
_cell_length_b 4.304
_cell_length_c 11.472
_cell_angle_alpha 90.00
_cell_angle_beta 90.00
_cell_angle_gamma 90.00
_symmetry_space_group_name_H-M 'P n m a'
_symmetry_Int_Tables_number 62
loop_
_symmetry_equiv_pos_as_xyz
'x,y,z'
'-x,-y,-z'
'-x+1/2,-y,z+1/2'
'x+1/2,y,-z+1/2'
'x+1/2,-y+1/2,-z+1/2'
'-x+1/2,y+1/2,z+1/2'
'-x,y+1/2,-z'
'x,-y+1/2,z'
loop_
_atom_site_label
_atom_site_fract_x
_atom_site_fract_y
_atom_site_fract_z
Sm1 0.055 0.250 0.128
Sm2 0.120 0.750 0.555
Sm3 0.223 0.250 0.800
Ge1 0.013 0.750 0.311
Ge2 0.191 0.750 0.001
Ir1 0.130 0.250 0.370
```



Stability check: which of them is most stable? version b.